[1]
LaSmPbSe, relaxed, DFT PBE; magnetic moment = 0.000 μB/cell; total DFT energy (no corrections) = -21.831 eV per cell; formation energy from raw total energies = -1.25 eV per atom
1.0
4.423 0.000 0.000
0.000 4.415 0.260
0.000 -0.374 6.334
La Sm Pb Se
1 1 1 1
direct
0.000 0.892 0.592
0.500 0.391 0.093
0.000 0.891 0.092
0.500 0.392 0.593

[2]
OsRu2Cl, relaxed, DFT PBE; magnetic moment = 0.000 μB/cell; relative energy among the computed polymorphs = 0.119 eV per atom; total DFT energy (no corrections) = -29.541 eV per cell; formation energy from raw total energies = 0.52 eV per atom
1.0
-1.823 -8.242 -2.197
-0.288 -8.717 0.101
-3.029 -8.173 0.333
Cl Os Ru
1 1 2
direct
0.503 0.503 0.503
0.748 0.748 0.748
0.000 0.000 0.000
0.250 0.250 0.250

[3]
NaMg2ZnB, relaxed, DFT PBE; DFT formation energy = 1.0905 eV per atom; magnetic moment = 0.000 μB/cell; total DFT energy (no corrections) = -7.007 eV per cell
1.0
-1.863 1.551 4.344
-4.823 -0.726 -1.809
0.067 -4.675 1.698
Na Zn B Mg
1 1 1 2
direct
0.000 0.500 0.000
0.000 0.000 0.000
0.500 0.500 0.500
0.000 0.000 0.500
0.500 0.000 0.000

[4]
Tb2Sm2Rh3, relaxed, DFT PBE; DFT formation energy = -0.6178 eV per atom; magnetic moment = 0.000 μB/cell; relative energy among the computed polymorphs = 0.105 eV per atom; total DFT energy (no corrections) = -45.078 eV per cell
1.0
-1.121 2.107 3.709
-4.784 -2.587 -2.602
2.481 -5.743 4.028
Tb Sm Rh
2 2 3
direct
0.637 0.273 0.925
0.363 0.727 0.075
0.867 0.732 0.644
0.133 0.268 0.356
0.000 0.000 0.000
0.801 0.605 0.267
0.199 0.395 0.733

[5]
NaGa2CuB, relaxed, DFT PBE; DFT formation energy = 1.6153 eV per atom; magnetic moment = 0.000 μB/cell; total DFT energy (no corrections) = -10.070 eV per cell
1.0
-1.669 -3.672 -3.093
0.693 -3.006 3.196
-4.735 0.718 1.702
Na B Cu Ga
1 1 1 2
direct
0.000 0.000 0.000
0.000 0.500 0.000
0.500 0.500 0.500
0.000 0.000 0.500
0.500 0.000 0.000

[6]
Cr2InGeMo, relaxed, DFT PBE; DFT formation energy = 1.2322 eV per atom; magnetic moment = 5.402 μB/cell; total DFT energy (no corrections) = -31.273 eV per cell
1.0
4.672 0.000 0.000
0.000 5.268 0.000
0.000 0.000 4.672
Cr Mo Ge In
2 1 1 1
direct
0.000 0.000 0.500
0.500 0.000 0.000
0.000 0.000 0.000
0.500 0.500 0.500
0.000 0.500 0.000

[7]
Ac4Pt2SCl, relaxed, DFT PBE; magnetic moment = 0.000 μB/cell; total DFT energy (no corrections) = -46.384 eV per cell; formation energy from raw total energies = -1.49 eV per atom
1.0
4.364 0.000 0.000
0.000 8.086 -0.322
0.000 2.664 7.086
Ac Pt S Cl
4 2 1 1
direct
0.000 0.782 0.732
0.000 0.218 0.268
0.500 0.774 0.250
0.500 0.226 0.750
0.000 0.000 0.000
0.500 0.000 0.500
0.000 0.500 0.500
0.500 0.500 0.000

[8]
Cs4HoF7, relaxed, DFT PBE; magnetic moment = 0.241 μB/cell; total DFT energy (no corrections) = -59.224 eV per cell; formation energy from raw total energies = -3.18 eV per atom
1.0
4.282 0.000 1.332
1.653 7.273 2.236
-0.710 -1.222 9.836
Cs Ho F
4 1 7
direct
0.580 0.570 0.269
0.420 0.430 0.731
0.716 0.904 0.664
0.284 0.096 0.336
0.000 0.000 0.000
0.825 0.230 0.120
0.175 0.770 0.880
0.012 0.171 0.806
0.988 0.829 0.194
0.364 0.751 0.521
0.500 0.000 0.000
0.636 0.249 0.479

[9]
BeCu2Os, relaxed, DFT PBE; DFT formation energy = 0.0967 eV per atom; magnetic moment = 0.000 μB/cell; total DFT energy (no corrections) = -22.761 eV per cell
1.0
-2.205 -0.686 -1.361
-1.093 -0.957 2.253
-2.554 5.788 1.220
Be Os Cu
1 1 2
direct
0.500 0.500 0.761
0.000 0.000 0.529
0.000 0.000 0.972
0.500 0.500 0.237

[10]
Pa3H4PbO12, relaxed, DFT PBE; magnetic moment = 0.506 μB/cell; total DFT energy (no corrections) = -144.075 eV per cell
1.0
6.449 0.077 0.106
-1.480 6.277 0.106
-1.480 -1.892 5.987
Pa H Pb O
3 4 1 12
direct
0.540 0.460 0.000
0.460 0.000 0.540
0.000 0.540 0.460
0.910 0.090 0.500
0.090 0.500 0.910
0.500 0.910 0.090
0.500 0.500 0.500
0.000 0.000 0.000
0.500 0.361 0.639
0.884 0.500 0.116
0.116 0.884 0.500
0.500 0.116 0.884
0.363 0.970 0.185
0.185 0.363 0.970
0.970 0.185 0.363
0.637 0.815 0.030
0.030 0.637 0.815
0.815 0.030 0.637
0.639 0.500 0.361
0.361 0.639 0.500

[11]
AlV4Cr5, relaxed, DFT PBE; DFT formation energy = -0.0688 eV per atom; magnetic moment = 2.768 μB/cell; total DFT energy (no corrections) = -89.022 eV per cell
1.0
-1.171 -0.146 2.693
-2.325 -1.434 -1.088
6.833 -12.809 2.279
Al V Cr
1 4 5
direct
0.000 0.000 0.000
0.000 0.000 0.203
0.000 0.000 0.401
0.000 0.000 0.599
0.000 0.000 0.797
0.500 0.500 0.109
0.500 0.500 0.302
0.500 0.500 0.500
0.500 0.500 0.698
0.500 0.500 0.891

[12]
CeZnRh4, relaxed, DFT PBE; DFT formation energy = -0.4049 eV per atom; magnetic moment = 0.000 μB/cell; relative energy among the computed polymorphs = 0.000 eV per atom; total DFT energy (no corrections) = -39.043 eV per cell
1.0
5.249 0.000 0.000
2.624 4.546 0.000
2.624 1.515 4.286
Zn Rh Ce
1 4 1
direct
0.000 0.000 0.000
0.626 0.626 0.122
0.626 0.122 0.626
0.626 0.626 0.626
0.122 0.626 0.626
0.250 0.250 0.250

[13]
FeCuPtRh, relaxed, DFT PBE; DFT formation energy = -0.1297 eV per atom; magnetic moment = 4.337 μB/cell; total DFT energy (no corrections) = -26.470 eV per cell
1.0
4.264 0.000 0.000
2.132 3.693 0.000
2.132 1.231 3.482
Rh Cu Pt Fe
1 1 1 1
direct
0.250 0.250 0.250
0.000 0.000 0.000
0.750 0.750 0.750
0.500 0.500 0.500

[14]
Bi2PdPb2, relaxed, DFT PBE; DFT formation energy = 0.1047 eV per atom; magnetic moment = 0.000 μB/cell; relative energy among the computed polymorphs = 0.231 eV per atom; total DFT energy (no corrections) = -39.696 eV per cell
1.0
7.360 0.000 0.000
0.000 7.360 0.000
0.000 0.000 5.456
Pb Bi Pd
4 4 2
direct
0.340 0.840 0.000
0.840 0.660 0.000
0.660 0.160 0.000
0.160 0.340 0.000
0.152 0.652 0.500
0.652 0.848 0.500
0.848 0.348 0.500
0.348 0.152 0.500
0.000 0.000 0.000
0.500 0.500 0.000

[15]
Pa2BeRh6, relaxed, DFT PBE; DFT formation energy = -0.8684 eV per atom; magnetic moment = 0.000 μB/cell; total DFT energy (no corrections) = -74.642 eV per cell
1.0
1.108 -1.203 5.635
4.688 -3.217 1.447
4.566 2.513 2.695
Pa Be Rh
2 1 6
direct
0.250 0.250 0.250
0.750 0.750 0.750
0.500 0.500 0.500
0.239 0.239 0.760
0.239 0.761 0.239
0.761 0.239 0.761
0.761 0.239 0.239
0.239 0.761 0.761
0.761 0.761 0.240

[16]
DyMg2Bi, relaxed, DFT PBE; DFT formation energy = -0.3386 eV per atom; magnetic moment = 0.000 μB/cell; relative energy among the computed polymorphs = 0.000 eV per atom; total DFT energy (no corrections) = -13.027 eV per cell
1.0
-4.451 1.654 -1.460
-2.009 -2.610 3.167
0.287 3.428 3.007
Mg Bi Dy
2 1 1
direct
0.000 0.000 0.500
0.000 0.500 0.000
0.500 0.000 0.000
0.500 0.500 0.500

[17]
LiLuGaSn, relaxed, DFT PBE; DFT formation energy = -0.3937 eV per atom; magnetic moment = 0.000 μB/cell; total DFT energy (no corrections) = -15.039 eV per cell
1.0
4.964 0.000 0.000
2.482 4.299 0.000
2.482 1.433 4.053
Lu Sn Ga Li
1 1 1 1
direct
0.250 0.250 0.250
0.000 0.000 0.000
0.500 0.500 0.500
0.750 0.750 0.750

[18]
SiP2RuN, relaxed, DFT PBE; magnetic moment = 0.000 μB/cell; relative energy among the computed polymorphs = 0.184 eV per atom; total DFT energy (no corrections) = -34.556 eV per cell; formation energy from raw total energies = -0.14 eV per atom
1.0
3.473 -0.006 0.001
1.570 4.621 -0.015
0.431 1.645 4.576
Si P Ru N
1 2 1 1
direct
0.552 0.648 0.218
0.061 0.913 0.622
0.738 0.340 0.685
0.168 0.453 0.959
0.284 0.987 0.305

[19]
Ce3PmRu, relaxed, DFT PBE; DFT formation energy = 0.0149 eV per atom; magnetic moment = 2.390 μB/cell; relative energy among the computed polymorphs = 0.043 eV per atom; total DFT energy (no corrections) = -31.754 eV per cell
1.0
5.405 0.000 0.000
0.000 5.405 0.000
0.000 0.000 5.405
Ru Ce Pm
1 3 1
direct
0.000 0.000 0.000
0.000 0.500 0.000
0.000 0.000 0.500
0.500 0.000 0.000
0.500 0.500 0.500

[20]
Ca2VSb, relaxed, DFT PBE; magnetic moment = 8.547 μB/cell; total DFT energy (no corrections) = -32.206 eV per cell; formation energy from raw total energies = 0.29 eV per atom
1.0
-0.901 -4.115 -7.369
-2.551 -6.932 4.182
-4.803 -4.506 -1.785
Sb Ca V
2 4 2
direct
0.000 0.000 0.000
0.750 0.250 0.500
0.627 0.125 0.250
0.123 0.625 0.250
0.375 0.373 0.750
0.875 0.877 0.750
0.500 0.500 0.000
0.250 0.750 0.500